A plane-wave DFT calculation with PBE-GGA was carried out for a geometry-optimized GdDyB2As2Ir2 structure.

The value obtained for the raw total energy is -7.073 eV/atom. The symmetry is P4mm. The value obtained for the volume is 17.10 A^3/atom.

```
GdDyB2As2Ir2
1.0
3.9770 0.0000 0.0000
0.0000 3.9770 0.0000
0.0000 0.0000 8.6472
Gd Dy B As Ir
1 1 2 2 2
Direct
0.0000 0.0000 0.0000 Gd
0.5000 0.5000 0.4197 Dy
0.0000 0.0000 0.6040 B
0.5000 0.5000 0.8171 B
0.0000 0.0000 0.3554 As
0.5000 0.5000 0.0664 As
0.0000 0.5000 0.7097 Ir
0.5000 0.0000 0.7097 Ir
```